{
  "formula": "YCu3S3",
  "functional": "GGA-PBEsol",
  "state": "relaxed",
  "crystal_system": "trigonal",
  "cell": [[3.287, 1.898, 6.271], [-3.287, 1.898, 6.271], [0.000, -3.796, 6.271]],
  "species": ["Y", "Y", "Cu", "Cu", "Cu", "Cu", "Cu", "Cu", "S", "S", "S", "S", "S", "S"],
  "frac_coords": [[0.167, 0.167, 0.167], [0.833, 0.833, 0.833], [0.034, 0.376, 0.719], [0.281, 0.966, 0.624], [0.376, 0.719, 0.034], [0.624, 0.281, 0.966], [0.719, 0.034, 0.376], [0.966, 0.624, 0.281], [0.088, 0.744, 0.417], [0.256, 0.583, 0.912], [0.417, 0.088, 0.744], [0.583, 0.912, 0.256], [0.744, 0.417, 0.088], [0.912, 0.256, 0.583]]
}

{
  "formula": "ZnCuS3",
  "functional": "GGA-PBEsol",
  "state": "relaxed",
  "crystal_system": "cubic",
  "cell": [[4.565, 0.000, 0.000], [0.000, 4.565, 0.000], [0.000, 0.000, 4.565]],
  "species": ["Zn", "Cu", "S", "S", "S"],
  "frac_coords": [[0.000, 0.000, 0.000], [0.500, 0.500, 0.500], [0.000, 0.000, 0.500], [0.000, 0.500, 0.000], [0.500, 0.000, 0.000]]
}

{
  "formula": "Zr2CuS4",
  "functional": "GGA-PBEsol",
  "state": "relaxed",
  "crystal_system": "cubic",
  "cell": [[0.000, 5.143, 5.143], [5.143, 0.000, 5.143], [5.143, 5.143, 0.000]],
  "species": ["Zr", "Zr", "Zr", "Zr", "Cu", "Cu", "S", "S", "S", "S", "S", "S", "S", "S"],
  "frac_coords": [[0.000, 0.000, 0.000], [0.000, 0.000, 0.500], [0.000, 0.500, 0.000], [0.500, 0.000, 0.000], [0.375, 0.375, 0.375], [0.625, 0.625, 0.625], [0.248, 0.751, 0.751], [0.249, 0.249, 0.249], [0.249, 0.249, 0.752], [0.249, 0.752, 0.249], [0.751, 0.248, 0.751], [0.751, 0.751, 0.248], [0.751, 0.751, 0.751], [0.752, 0.249, 0.249]]
}

{
  "formula": "Cu2Sb",
  "functional": "GGA-PBEsol",
  "state": "relaxed",
  "crystal_system": "triclinic",
  "cell": [[3.205, 0.000, 0.000], [-0.016, 5.401, 0.000], [-1.600, -2.687, 5.428]],
  "species": ["Cu", "Cu", "Cu", "Cu", "Sb", "Sb"],
  "frac_coords": [[0.001, 0.256, 0.000], [0.378, 0.878, 0.757], [0.622, 0.122, 0.243], [0.999, 0.744, 0.000], [0.327, 0.329, 0.657], [0.673, 0.671, 0.343]]
}

Energy relative to the elements, uncorrected list, top to bottom, in eV per formula unit: -6.36; 3.99; -9.65; 0.23